Entry 1:
The following is a DFT calculation (PBE-GGA) of a relaxed structure of Pu2Ga2Pt3.

For the energy above the most stable polymorph in this dataset, the calculation gives 0.000 eV per formula unit. Its formation enthalpy at 0 K is -775 meV per atom.

It has space group Cmcm (No. 63), with a = 4.097 Å, b = 19.115 Å, c = 7.215 Å, α = 90.00°, β = 90.00° and γ = 90.00°. Symmetry generates all atoms from Pu at (0.000, 0.059, 0.250), Pu at (0.000, 0.149, 0.750), Ga at (0.000, 0.307, 0.554), Pt at (0.000, 0.227, 0.250) and Pt at (0.000, 0.434, 0.053).

***

Entry 2:
The following is a DFT calculation (PBE-GGA) of a relaxed structure of Pu5Ga2Pt5.

Its formation enthalpy at 0 K is -692 meV per atom.

It has space group C2/m (No. 12), with a = 15.024 Å, b = 4.408 Å, c = 9.446 Å, α = 90.00°, β = 127.01° and γ = 90.00°. Symmetry generates all atoms from Pu at (0.000, 0.000, 0.000), Pu at (0.108, 0.000, 0.422), Pu at (0.177, 0.000, 0.835), Ga at (0.149, 0.500, 0.225), Pt at (0.000, 0.500, 0.500), Pt at (0.057, 0.500, 0.861) and Pt at (0.237, 0.500, 0.686).

***

Entry 3:
The following is a DFT calculation (PBE-GGA) of a relaxed structure of PuGaPt.

Its formation enthalpy at 0 K is -714 meV per atom.

It has space group P-6m2 (No. 187), with a = 4.4387 Å, b = 4.4387 Å, c = 3.6395 Å, α = 90.00°, β = 90.00° and γ = 120.00°. Symmetry generates all atoms from Pu at (0.0000, 0.0000, 0.0000), Ga at (0.3333, 0.6667, 0.5000) and Pt at (0.6667, 0.3333, 0.5000).

***

Entry 4:
The following is a DFT calculation (PBE-GGA) of a relaxed structure of Pu2Ga3Pt4.

Its formation enthalpy at 0 K is -789 meV per atom.

It has space group Cmce (No. 64), with a = 5.678 Å, b = 15.557 Å, c = 7.521 Å, α = 90.00°, β = 90.00° and γ = 90.00°. Symmetry generates all atoms from Pu at (0.000, 0.103, 0.098), Ga at (0.000, 0.000, 0.500), Ga at (0.250, 0.233, 0.750), Pt at (0.000, 0.178, 0.477) and Pt at (0.250, 0.065, 0.750).

***

Entry 5:
The following is a DFT calculation (PBE-GGA) of a relaxed structure of Pu3GaPt8.

Its formation enthalpy at 0 K is -740 meV per atom.

It has space group R3m (No. 160, hexagonal axes), with a = 5.4349 Å, b = 5.4349 Å, c = 26.4913 Å, α = 90.00°, β = 90.00° and γ = 120.00°. Symmetry generates all atoms from Pu at (0.0000, 0.0000, 0.0000), Pu at (0.0000, 0.0000, 0.1279), Pu at (0.0000, 0.0000, 0.6161), Ga at (0.0000, 0.0000, 0.4828), Pt at (0.0000, 0.0000, 0.3110), Pt at (0.0000, 0.0000, 0.8117), Pt at (0.0019, 0.5010, 0.5613) and Pt at (0.1674, 0.3349, 0.3941).

***

Entry 6:
The following is a DFT calculation (PBE-GGA) of a relaxed structure of Pu2Ga2Pt.

For the energy above the most stable polymorph in this dataset, the calculation gives 0.104 eV per formula unit. Its formation enthalpy at 0 K is -540 meV per atom.

It has space group C2/m (No. 12), with a = 10.336 Å, b = 4.510 Å, c = 9.804 Å, α = 90.00°, β = 110.52° and γ = 90.00°. Symmetry generates all atoms from Pu at (0.020, 0.000, 0.340), Pu at (0.186, 0.000, 0.099), Ga at (0.015, 0.500, 0.876), Ga at (0.148, 0.500, 0.564) and Pt at (0.229, 0.500, 0.330).

***

Entry 7:
The following is a DFT calculation (PBE-GGA) of a relaxed structure of PuGa12Pt6.

Its formation enthalpy at 0 K is -542 meV per atom.

It has space group R-3m (No. 166, hexagonal axes), with a = 11.4815 Å, b = 11.4815 Å, c = 8.7424 Å, α = 90.00°, β = 90.00° and γ = 120.00°. Symmetry generates all atoms from Pu at (0.0000, 0.0000, 0.0000), Ga at (0.0000, 0.3880, 0.5000), Ga at (0.0844, 0.1688, 0.3091) and Pt at (0.0486, 0.5243, 0.2410).

***

Entry 8:
The following is a DFT calculation (PBE-GGA) of a relaxed structure of Pu2Ga3Pt2.

For the energy above the most stable polymorph in this dataset, the calculation gives 1.336 eV per formula unit. Its formation enthalpy at 0 K is -404 meV per atom.

It has space group C2/m (No. 12), with a = 11.688 Å, b = 3.505 Å, c = 7.357 Å, α = 90.00°, β = 124.33° and γ = 90.00°. Symmetry generates all atoms from Pu at (0.187, 0.000, 0.380), Ga at (0.000, 0.500, 0.500), Ga at (0.080, 0.500, 0.943) and Pt at (0.160, 0.000, 0.787).

***

Entry 9:
The following is a DFT calculation (PBE-GGA) of a relaxed structure of Pu2Ga3Pt2.

For the energy above the most stable polymorph in this dataset, the calculation gives 0.000 eV per formula unit. Its formation enthalpy at 0 K is -595 meV per atom.

It has space group Cmcm (No. 63), with a = 4.075 Å, b = 18.859 Å, c = 7.286 Å, α = 90.00°, β = 90.00° and γ = 90.00°. Symmetry generates all atoms from Pu at (0.000, 0.068, 0.250), Pu at (0.000, 0.157, 0.750), Ga at (0.000, 0.229, 0.250), Ga at (0.000, 0.443, 0.078) and Pt at (0.000, 0.315, 0.551).

***

Entry 10:
The following is a DFT calculation (PBE-GGA) of a relaxed structure of Pu2Ga5Pt3.

For the energy above the most stable polymorph in this dataset, the calculation gives 0.175 eV per formula unit. Its formation enthalpy at 0 K is -697 meV per atom.

It has space group Ibam (No. 72), with a = 10.360 Å, b = 12.688 Å, c = 5.777 Å, α = 90.00°, β = 90.00° and γ = 90.00°. Symmetry generates all atoms from Pu at (0.224, 0.143, 0.000), Ga at (0.000, 0.000, 0.250), Ga at (0.000, 0.291, 0.250), Ga at (0.169, 0.408, 0.000), Pt at (0.000, 0.500, 0.250) and Pt at (0.100, 0.146, 0.500).

***

Entry 11:
The following is a DFT calculation (PBE-GGA) of a relaxed structure of Pu3Ga6Pt5.

Its formation enthalpy at 0 K is -749 meV per atom.

It has space group Pmmn (No. 59, origin choice 2), with a = 4.321 Å, b = 12.928 Å, c = 9.342 Å, α = 90.00°, β = 90.00° and γ = 90.00°. Symmetry generates all atoms from Pu at (0.250, 0.049, 0.250), Pu at (0.250, 0.750, 0.243), Ga at (0.250, 0.072, 0.908), Ga at (0.250, 0.250, 0.086), Ga at (0.250, 0.250, 0.455), Ga at (0.250, 0.598, 0.523), Pt at (0.250, 0.094, 0.630), Pt at (0.250, 0.632, 0.964) and Pt at (0.250, 0.750, 0.707).

***

Entry 12:
The following is a DFT calculation (PBE-GGA) of a relaxed structure of PuGaPt2.

Its formation enthalpy at 0 K is -621 meV per atom.

It has space group P4/mmm (No. 123), with a = 3.184 Å, b = 3.184 Å, c = 7.140 Å, α = 90.00°, β = 90.00° and γ = 90.00°. Symmetry generates all atoms from Pu at (0.000, 0.000, 0.000), Ga at (0.000, 0.000, 0.500) and Pt at (0.500, 0.500, 0.295).

***

Entry 13:
The following is a DFT calculation (PBE-GGA) of a relaxed structure of Pu2Ga2Pt.

For the energy above the most stable polymorph in this dataset, the calculation gives 0.000 eV per formula unit. Its formation enthalpy at 0 K is -561 meV per atom.

It has space group C2/m (No. 12), with a = 11.275 Å, b = 4.515 Å, c = 8.835 Å, α = 90.00°, β = 109.37° and γ = 90.00°. Symmetry generates all atoms from Pu at (0.113, 0.000, 0.389), Pu at (0.151, 0.000, 0.010), Ga at (0.032, 0.500, 0.151), Ga at (0.103, 0.500, 0.656) and Pt at (0.228, 0.000, 0.723).

***

Entry 14:
The following is a DFT calculation (PBE-GGA) of a relaxed structure of PuGaPt.

Its formation enthalpy at 0 K is -772 meV per atom.

It has space group P2_1/m (No. 11), with a = 7.147 Å, b = 4.250 Å, c = 11.927 Å, α = 90.00°, β = 90.46° and γ = 90.00°. Symmetry generates all atoms from Pu at (0.015, 0.250, 0.200), Pu at (0.361, 0.750, 0.574), Pu at (0.482, 0.750, 0.873), Ga at (0.013, 0.250, 0.587), Ga at (0.162, 0.250, 0.952), Ga at (0.348, 0.750, 0.293), Pt at (0.217, 0.250, 0.404), Pt at (0.223, 0.750, 0.073) and Pt at (0.281, 0.250, 0.740).

***

Entry 15:
The following is a DFT calculation (PBE-GGA) of a relaxed structure of PuGa4Pt6.

Its formation enthalpy at 0 K is -455 meV per atom.

It has space group I-42m (No. 121), with a = 6.684 Å, b = 6.684 Å, c = 9.370 Å, α = 90.00°, β = 90.00° and γ = 90.00°. Symmetry generates all atoms from Pu at (0.000, 0.000, 0.000), Ga at (0.203, 0.203, 0.326), Pt at (0.000, 0.500, 0.000) and Pt at (0.164, 0.164, 0.608).

***

Entry 16:
The following is a DFT calculation (PBE-GGA) of a relaxed structure of PuGaPt2.

Its formation enthalpy at 0 K is -482 meV per atom.

It has space group P4/mmm (No. 123), with a = 5.061 Å, b = 5.061 Å, c = 2.903 Å, α = 90.00°, β = 90.00° and γ = 90.00°. Symmetry generates all atoms from Pu at (0.000, 0.000, 0.000), Ga at (0.500, 0.500, 0.000) and Pt at (0.000, 0.500, 0.500).

***

Entry 17:
The following is a DFT calculation (PBE-GGA) of a relaxed structure of Pu2GaPt.

Its formation enthalpy at 0 K is -550 meV per atom.

It has space group P2_1/m (No. 11), with a = 6.058 Å, b = 4.781 Å, c = 6.206 Å, α = 90.00°, β = 109.20° and γ = 90.00°. Symmetry generates all atoms from Pu at (0.134, 0.250, 0.398), Pu at (0.265, 0.750, 0.167), Ga at (0.392, 0.750, 0.713) and Pt at (0.240, 0.250, 0.889).

***

Entry 18:
The following is a DFT calculation (PBE-GGA) of a relaxed structure of Pu2GaPt.

Its formation enthalpy at 0 K is -162 meV per atom.

It has space group R-3m (No. 166, hexagonal axes), with a = 2.9688 Å, b = 2.9688 Å, c = 31.2019 Å, α = 90.00°, β = 90.00° and γ = 120.00°. Symmetry generates all atoms from Pu at (0.0000, 0.0000, 0.2483), Ga at (0.0000, 0.0000, 0.0000) and Pt at (0.0000, 0.0000, 0.5000).

***

Entry 19:
The following is a DFT calculation (PBE-GGA) of a relaxed structure of PuGaPt.

Its formation enthalpy at 0 K is -572 meV per atom.

It has space group F-43m (No. 216), with a = 6.534 Å, b = 6.534 Å, c = 6.534 Å, α = 90.00°, β = 90.00° and γ = 90.00°. Symmetry generates all atoms from Pu at (0.000, 0.000, 0.000), Ga at (0.000, 0.000, 0.500) and Pt at (0.250, 0.250, 0.250).

***

Entry 20:
The following is a DFT calculation (PBE-GGA) of a relaxed structure of Pu3Ga2Pt4.

Its formation enthalpy at 0 K is -793 meV per atom.

It has space group C2/m (No. 12), with a = 10.820 Å, b = 4.389 Å, c = 8.625 Å, α = 90.00°, β = 116.03° and γ = 90.00°. Symmetry generates all atoms from Pu at (0.000, 0.000, 0.000), Pu at (0.136, 0.500, 0.689), Ga at (0.163, 0.500, 0.331), Pt at (0.083, 0.000, 0.408) and Pt at (0.213, 0.500, 0.071).

***

Number 1: spin magnetization 1.53 μB/atom, Fermi-level density of states 3.502 states/eV/atom. Number 2: spin magnetization 1.38 μB/atom, Fermi-level density of states 3.764 states/eV/atom. Number 3: spin magnetization 1.78 μB/atom, Fermi-level density of states 4.023 states/eV/atom. Number 4: spin magnetization 1.20 μB/atom, Fermi-level density of states 2.573 states/eV/atom. Number 5: spin magnetization 1.29 μB/atom, Fermi-level density of states 2.841 states/eV/atom. Number 6: spin magnetization 2.22 μB/atom, Fermi-level density of states 3.551 states/eV/atom. Number 7: spin magnetization 0.31 μB/atom, Fermi-level density of states 0.633 states/eV/atom. Number 8: spin magnetization 0.12 μB/atom, Fermi-level density of states 1.195 states/eV/atom. Number 9: spin magnetization 1.54 μB/atom, Fermi-level density of states 3.373 states/eV/atom. Number 10: spin magnetization 1.09 μB/atom, Fermi-level density of states 2.604 states/eV/atom. Number 11: spin magnetization 1.14 μB/atom, Fermi-level density of states 2.717 states/eV/atom. Number 12: spin magnetization 1.30 μB/atom, Fermi-level density of states 2.071 states/eV/atom. Number 13: spin magnetization 2.17 μB/atom, Fermi-level density of states 3.537 states/eV/atom. Number 14: spin magnetization 0.63 μB/atom, Fermi-level density of states 3.449 states/eV/atom. Number 15: spin magnetization 0.49 μB/atom, Fermi-level density of states 1.793 states/eV/atom. Number 16: spin magnetization 1.33 μB/atom, Fermi-level density of states 2.271 states/eV/atom. Number 17: spin magnetization 2.69 μB/atom, Fermi-level density of states 3.358 states/eV/atom. Number 18: spin magnetization 2.39 μB/atom, Fermi-level density of states 2.605 states/eV/atom. Number 19: spin magnetization 1.83 μB/atom, Fermi-level density of states 3.259 states/eV/atom. Number 20: spin magnetization 1.80 μB/atom, Fermi-level density of states 3.810 states/eV/atom.